1.
SmErMgZn: optimized geometry, PBE.

**DOS at the Fermi energy**: 4.5 states/eV per cell
**Excess energy over the best structure of this formula in the dataset**: 0 meV/atom
**Size of the total moment**: 0.00 μB per cell

```
SmErMgZn
1.0
3.6030 0.0000 0.0000
0.0000 3.6030 0.0000
0.0000 0.0000 7.8278
Mg Er Zn Sm
1 1 1 1
direct
0.5000 0.5000 0.5967
0.0000 0.0000 0.3288
0.5000 0.5000 0.1206
0.0000 0.0000 0.8818
```

=====

2.
PmEu2Sb: optimized geometry, PBE.

**DOS at the Fermi energy**: 4.3 states/eV per cell
**E_form (uncorrected)**: -513 meV/atom
**Size of the total moment**: 15.30 μB per cell

```
PmEu2Sb
1.0
-1.1753 -0.2811 5.0138
-4.7482 -0.5547 -1.1441
0.6016 -4.8768 -0.1324
Pm Sb Eu
1 1 2
direct
0.5000 0.5000 0.5000
0.5000 0.0000 0.0000
0.0000 0.5000 0.0000
0.0000 0.0000 0.5000
```

=====

3.
Ca3Ce2ZrP6: optimized geometry, PBE.

**E_tot**: -6.20 eV per atom
**Size of the total moment**: 0.00 μB per cell

```
Ca3Ce2ZrP6
1.0
-6.2648 2.6585 -1.6975
1.5387 -1.3446 6.7098
4.0008 5.6971 -1.0008
P Ca Ce Zr
6 3 2 1
direct
0.0763 0.3978 0.2291
0.9237 0.6022 0.7709
0.7553 0.7553 0.2287
0.2447 0.2447 0.7713
0.6022 0.9237 0.7709
0.3978 0.0763 0.2291
0.5000 0.5000 0.5000
0.8319 0.1681 0.5000
0.1681 0.8319 0.5000
0.6664 0.3336 0.0000
0.3336 0.6664 0.0000
0.0000 0.0000 0.0000
```

=====

4.
SmAl3Pt: optimized geometry, PBE.

**DOS at the Fermi energy**: 4.5 states/eV per cell
**Excess energy over the best structure of this formula in the dataset**: 19 meV/atom
**Size of the total moment**: 0.00 μB per cell

```
SmAl3Pt
1.0
-1.6813 3.8687 0.4199
-2.8648 -1.8926 5.9653
4.6963 1.5198 4.8011
Sm Al Pt
2 6 2
direct
0.3810 0.5314 0.2319
0.8810 0.1433 0.5742
0.3810 0.0067 0.3068
0.3810 0.9926 0.9179
0.3810 0.4069 0.7600
0.8810 0.6822 0.8882
0.8810 0.6681 0.4993
0.8810 0.2679 0.0461
0.3810 0.7808 0.6675
0.8810 0.8940 0.1386
```

=====

5.
TlPd5Au6: optimized geometry, PBE.

**DOS at the Fermi energy**: 4.8 states/eV per cell
**Excess energy over the best structure of this formula in the dataset**: 3 meV/atom
**Size of the total moment**: 0.00 μB per cell

```
TlPd5Au6
1.0
-0.3878 6.9767 5.9108
-2.2532 -0.5532 3.4268
3.8370 -2.4663 4.6236
Au Pd Tl
6 5 1
direct
0.7361 0.7634 0.0000
0.2639 0.2366 0.0000
0.7445 0.4248 0.6606
0.7445 0.0854 0.3394
0.2555 0.5752 0.3394
0.2555 0.9146 0.6606
0.5000 0.1672 0.6657
0.5000 0.5000 0.0000
0.0000 0.3351 0.3297
0.5000 0.8328 0.3343
0.0000 0.6649 0.6703
0.0000 0.0000 0.0000
```

=====

6.
Zr4Re2N: optimized geometry, PBE.

**DOS at the Fermi energy**: 23.7 states/eV per cell
**E_form (uncorrected)**: -632 meV/atom
**Size of the total moment**: 0.00 μB per cell

```
Zr4Re2N
1.0
8.8367 0.0000 0.0000
4.4184 7.6528 0.0000
4.4184 2.5509 7.2151
Re Zr N
8 16 4
direct
0.8332 0.8332 0.8332
0.8332 0.8332 0.5005
0.4168 0.4168 0.7495
0.5005 0.8332 0.8332
0.7495 0.4168 0.4168
0.8332 0.5005 0.8332
0.4168 0.4168 0.4168
0.4168 0.7495 0.4168
0.1250 0.6250 0.6250
0.8144 0.8144 0.1856
0.6250 0.6250 0.6250
0.4356 0.0644 0.4356
0.1856 0.1856 0.8144
0.6250 0.1250 0.6250
0.6250 0.6250 0.1250
0.8144 0.1856 0.1856
0.0644 0.0644 0.4356
0.4356 0.4356 0.0644
0.0644 0.4356 0.0644
0.1856 0.8144 0.1856
0.0644 0.4356 0.4356
0.4356 0.0644 0.0644
0.1856 0.8144 0.8144
0.8144 0.1856 0.8144
0.1250 0.1250 0.1250
0.1250 0.6250 0.1250
0.6250 0.1250 0.1250
0.1250 0.1250 0.6250
```

=====

7.
Ca4MoN5: optimized geometry, PBE.

**DOS at the Fermi energy**: 6.7 states/eV per cell
**E_form (uncorrected)**: -811 meV/atom
**Size of the total moment**: 1.04 μB per cell

```
Ca4MoN5
1.0
-1.1970 -3.3646 3.6243
3.7906 -4.4385 0.7031
2.0982 1.1831 5.3630
Ca N Mo
4 5 1
direct
0.8053 0.8032 0.5981
0.4034 0.4019 0.8032
0.6085 0.5981 0.1968
0.2066 0.1968 0.4019
0.7402 0.1753 0.3429
0.0831 0.6571 0.1753
0.9155 0.3429 0.8247
0.2583 0.8247 0.6571
0.4241 0.0000 0.0000
0.0652 0.0000 0.0000
```

=====

8.
SiAs3I: optimized geometry, PBE.

**DOS at the Fermi energy**: 4.3 states/eV per cell
**Excess energy over the best structure of this formula in the dataset**: 0 meV/atom
**E_form (uncorrected)**: 677 meV/atom
**Size of the total moment**: 0.00 μB per cell

```
SiAs3I
1.0
4.8980 0.0000 0.0000
0.0000 4.8980 0.0000
0.0000 0.0000 4.8980
I As Si
1 3 1
direct
0.5000 0.5000 0.5000
0.0000 0.0000 0.5000
0.0000 0.5000 0.0000
0.5000 0.0000 0.0000
0.0000 0.0000 0.0000
```

=====

Look up the size of the total moment of the sixth one. 0.00 μB per cell